Below is a relaxed SrZrMo2N crystal, with properties calculated at the PBE-GGA level.

Summary:
Uncorrected formation energy: 1.472 eV per atom
Calculated total energy: -32.86 eV/cell

Lattice parameters (Å, degrees): 5.2528 5.2528 4.3386 90.00 90.00 90.00
Space group P4/mmm (No. 123)
Asymmetric unit:
Sr 0.0000 0.0000 0.0000 [1 per cell]
Zr 0.5000 0.5000 0.5000 [1 per cell]
Mo 0.0000 0.5000 0.5000 [2 per cell]
N 0.5000 0.5000 0.0000 [1 per cell]